A relaxed MoRu2Se crystal, computed with PBE-GGA.

```
MoRu2Se
1.0
4.9013 -0.0001 0.0000
1.9226 4.5084 0.0000
-3.4119 -2.2542 2.7018
Mo Ru Se
1 2 1
direct
0.7500 0.2500 0.5000
0.0000 0.0000 0.0000
0.2500 0.7500 0.5000
0.5000 0.5000 0.0000
```

Computed properties:
SG	I-4m2 (119)
energy	-7.8352	eV per atom
DOS(E_F)	1.105	states/eV per atom
raw formation energy	0.38	eV/atom